Entry 1:
CrCoS2: relaxed, GGA-PBEsol.

a b c (Å): 7.1415 7.1415 7.1415
angles (deg): 26.51 26.51 26.51
Element x y z (fractional)
Cr 0.0000 0.0000 0.0000
Co 0.5000 0.5000 0.5000
S 0.1107 0.1107 0.1107
S 0.8893 0.8893 0.8893

Results
As for the space group: R-3m (166). Its raw formation energy is -0.07 eV per atom. For the magnetization, the calculation gives 0.976 μB/atom. The energy above the most stable polymorph in this dataset comes out at 5 meV per atom.

---

Entry 2:
Lu5Rh3: relaxed, GGA-PBEsol.

a b c (Å): 7.9801 7.9801 6.0015
angles (deg): 90.00 90.00 120.00
Element x y z (fractional)
Lu 0.0000 0.2498 0.2500
Lu 0.0000 0.7502 0.7500
Lu 0.2498 0.0000 0.2500
Lu 0.2498 0.2498 0.7500
Lu 0.3333 0.6667 0.0000
Lu 0.3333 0.6667 0.5000
Lu 0.6667 0.3333 0.0000
Lu 0.6667 0.3333 0.5000
Lu 0.7502 0.0000 0.7500
Lu 0.7502 0.7502 0.2500
Rh 0.0000 0.3991 0.7500
Rh 0.0000 0.6009 0.2500
Rh 0.3991 0.0000 0.7500
Rh 0.3991 0.3991 0.2500
Rh 0.6009 0.0000 0.2500
Rh 0.6009 0.6009 0.7500

Results
As for the space group: P6_3/mcm (193). For the magnetization, the calculation gives 0.000 μB/atom. The value obtained for the formation energy is -782 meV/atom.

---

Entry 3:
RbReRu3: relaxed, GGA-PBEsol.

a b c (Å): 4.7362 4.7362 4.7362
angles (deg): 90.00 90.00 90.00
Element x y z (fractional)
Rb 0.0000 0.0000 0.0000
Re 0.5000 0.5000 0.5000
Ru 0.0000 0.5000 0.5000
Ru 0.5000 0.0000 0.5000
Ru 0.5000 0.5000 0.0000

Results
As for the space group: Pm-3m (221). For the magnetization, the calculation gives 0.245 μB/atom. The value obtained for the formation energy is 1694 meV/atom.

---

Number 1: raw total energy -27.03 eV for the cell shown. Number 2: raw total energy -110.07 eV for the cell shown. Number 3: raw total energy -36.40 eV for the cell shown.